A PBEsol-optimized structure of LuAl3Ni2. Source: Alexandria, functional SCAN. Values from VASP.

Its formation energy is -678 meV per atom. For the calculated total energy, the calculation gives -19.169 eV/atom. Its crystal system is hexagonal.

```
&SYSTEM
  ibrav = 0, nat = 6, ntyp = 3
/
ATOMIC_SPECIES
Ni 58.69 Ni.upf
Al 26.98 Al.upf
Lu 174.97 Lu.upf
CELL_PARAMETERS angstrom
-2.1956 -3.0596 -1.1240
4.0488 -3.1321 0.6170
-3.2161 0.8617 3.9367
ATOMIC_POSITIONS crystal
Ni 0.0000 0.3333 0.6667
Ni 0.0000 0.6667 0.3333
Al 0.5000 0.5000 0.5000
Al 0.5000 0.5000 0.0000
Lu 0.0000 0.0000 0.0000
Al 0.5000 0.0000 0.5000
```